8
Lattice="-2.0422 2.0422 4.2945 2.0422 -2.0422 4.2945 2.0422 2.0422 -4.2945" Properties=species:S:1:pos:R:3 comment="Li2MnCoO4 | Alexandria via LeMat-Bulk | PBE+U | optimized geometry" crystal_system=tetragonal de_polymorph_mev_per_atom=36 pbc="T T T"
Mn 0.0000 0.0000 0.0000
O 0.0000 0.0000 6.6379
O 0.0000 0.0000 1.9510
O 0.0000 2.0422 4.1769
O 0.0000 2.0422 0.1176
Li 2.0422 0.0000 2.1472
Li 0.0000 0.0000 4.2945
Co 0.0000 2.0422 2.1472